1.
Al2TcW: optimized geometry, PBE-GGA.

energy	-7.7611	eV per atom
DOS at the Fermi energy	3.417	states/eV/cell
magnetization	0.00	μB/cell

POSCAR file:
```
Al2TcW
1.0
1.443 0.833 8.677
-1.443 0.833 8.677
0.000 -1.666 8.677
Al Tc W
2 1 1
Cartesian
0.000 0.000 0.000
0.000 0.000 6.371
0.000 0.000 19.448
0.000 0.000 12.823
```


2.
Sr2LaTiCd: optimized geometry, PBE-GGA.

energy	-2.8539	eV per atom
DOS at the Fermi energy	9.272	states/eV/cell
magnetization	3.09	μB/cell

POSCAR file:
```
Sr2LaTiCd
1.0
6.022 0.000 0.000
0.000 6.022 0.000
0.000 0.000 5.464
Sr La Ti Cd
2 1 1 1
Cartesian
0.000 3.011 0.000
3.011 0.000 0.000
0.000 0.000 2.732
3.011 3.011 2.732
3.011 3.011 0.000
```


3.
Li2B2Cl7: optimized geometry, PBE-GGA.

energy	-3.7088	eV per atom
DOS at the Fermi energy	0.241	states/eV/cell
magnetization	2.00	μB/cell
formation energy without anion corrections	-0.972	eV/atom

POSCAR file:
```
Li2B2Cl7
1.0
5.079 -5.068 0.000
5.079 5.068 0.000
-4.686 0.000 10.826
Li B Cl
4 4 14
Cartesian
-0.016 0.932 4.091
-2.359 -0.932 9.504
7.831 0.932 1.321
5.488 -0.932 6.734
-1.095 1.791 7.421
1.248 -1.791 2.008
4.224 1.791 8.817
6.567 -1.791 3.405
-1.760 1.476 9.062
-0.590 0.342 6.478
2.198 1.905 4.323
1.565 2.705 8.119
1.753 -0.342 1.065
0.583 -1.476 3.649
5.617 1.905 1.090
-0.145 -1.905 9.736
4.889 1.476 7.177
3.719 0.342 9.761
3.908 -2.705 2.706
3.274 -1.905 6.502
6.062 -0.342 4.348
7.232 -1.476 1.764
```


4.
K2BaIr: optimized geometry, PBE-GGA.

energy	-2.3650	eV per atom
DOS at the Fermi energy	6.259	states/eV/cell
magnetization	1.59	μB/cell

POSCAR file:
```
K2BaIr
1.0
3.613 0.000 0.000
0.000 3.613 0.000
0.000 0.000 12.526
K Ba Ir
2 1 1
Cartesian
0.000 0.000 2.051
0.000 0.000 10.475
1.807 1.807 6.263
1.807 1.807 0.000
```


5.
CeZr6Sc12: optimized geometry, PBE-GGA.

energy	-6.5569	eV per atom
DOS at the Fermi energy	27.009	states/eV/cell
magnetization	0.00	μB/cell

POSCAR file:
```
CeZr6Sc12
1.0
5.982 3.454 4.112
-5.982 3.454 4.112
0.000 -6.908 4.112
Ce Zr Sc
1 6 12
Cartesian
0.000 0.000 0.000
0.000 -3.806 4.590
-3.296 1.903 4.590
-3.296 -1.903 7.746
3.296 1.903 4.590
3.296 -1.903 7.746
0.000 3.806 7.746
-2.249 -3.896 6.168
-4.499 0.000 6.168
-1.686 -0.974 4.780
1.686 -0.973 4.780
0.000 1.947 4.780
2.249 -3.896 6.168
-2.249 3.896 6.168
0.000 -1.947 7.555
-1.686 0.973 7.555
1.686 0.973 7.555
4.499 0.000 6.168
2.249 3.896 6.168
```


6.
Ho7ScTl2: optimized geometry, PBE-GGA.

energy	-3.9285	eV per atom
DOS at the Fermi energy	15.600	states/eV/cell
magnetization	0.00	μB/cell

POSCAR file:
```
Ho7ScTl2
1.0
4.560 -7.806 0.000
4.560 7.806 0.000
0.000 0.000 5.118
Ho Sc Tl
7 1 2
Cartesian
0.000 0.000 0.000
2.904 1.810 0.000
4.560 3.415 2.559
2.904 -1.810 0.000
6.217 1.810 0.000
4.560 -3.415 2.559
6.217 -1.810 0.000
4.560 0.000 2.559
4.560 4.802 0.000
4.560 -4.802 0.000
```


7.
La3PmY3Te8: optimized geometry, PBE-GGA.

energy	-5.7656	eV per atom
DOS at the Fermi energy	8.067	states/eV/cell
magnetization	0.00	μB/cell
formation energy without anion corrections	-1.495	eV/atom

POSCAR file:
```
La3PmY3Te8
1.0
4.438 2.562 7.335
-4.438 2.562 7.335
0.000 -5.124 7.335
La Pm Y Te
3 1 3 8
Cartesian
-2.219 -1.281 7.335
-2.219 1.281 14.670
0.000 2.562 7.335
0.000 0.000 11.003
-4.438 0.000 11.003
-2.219 1.281 3.668
2.219 1.281 3.668
-2.310 -1.334 12.798
0.000 0.000 5.390
0.000 -2.667 9.208
-2.310 1.334 9.208
2.310 -1.334 12.798
0.000 2.667 12.798
0.000 0.000 16.615
2.310 1.334 9.208
```


8.
ErTiPb2: optimized geometry, PBE-GGA.

energy	-5.0328	eV per atom
DOS at the Fermi energy	4.351	states/eV/cell
magnetization	0.00	μB/cell

POSCAR file:
```
ErTiPb2
1.0
3.836 0.000 0.000
0.000 3.836 0.000
0.000 0.000 6.685
Er Ti Pb
1 1 2
Cartesian
0.000 0.000 0.000
0.000 0.000 3.343
1.918 1.918 1.818
1.918 1.918 4.867
```